Computed, not measured: a geometry-optimized Ba2CeHgSe5 structure at the GGA-PBE level of DFT.

Output
total DFT energy (no corrections): -0.1684 Ha/atom
symmetry: Cmc2_1 (36)
uncorrected formation energy: -1.53 eV per atom
M_tot: 0.26 μB per cell

Cell: 4.3911 9.7793 13.3909 Å, 90.00 90.00 102.97°
Fractional positions:
Ba: 0.8737 0.7474 0.8158
Ba: 0.1135 0.2271 0.6877
Ba: 0.1263 0.2526 0.3158
Ba: 0.8865 0.7729 0.1877
Ce: 0.7940 0.5879 0.5139
Ce: 0.2060 0.4121 0.0139
Hg: 0.5453 0.0905 0.9476
Hg: 0.4547 0.9095 0.4476
Se: 0.3531 0.7063 0.0052
Se: 0.6960 0.3919 0.8699
Se: 0.4966 0.9933 0.7671
Se: 0.2900 0.5800 0.6549
Se: 0.9434 0.8869 0.5619
Se: 0.6469 0.2937 0.5052
Se: 0.3040 0.6081 0.3699
Se: 0.5034 0.0067 0.2671
Se: 0.7100 0.4200 0.1549
Se: 0.0566 0.1131 0.0619

Computed, not measured: a geometry-optimized SrErRuO6 structure at the GGA-PBE level of DFT.

Output
total DFT energy (no corrections): -0.2574 Ha/atom
symmetry: P-31c (163)
uncorrected formation energy: -1.98 eV per atom
M_tot: 2.08 μB per cell

Cell: 5.5280 5.5280 10.4512 Å, 90.00 90.00 120.00°
Fractional positions:
Sr: 0.0000 0.0000 0.0000
Sr: 0.0000 0.0000 0.5000
Er: 0.3333 0.6667 0.2500
Er: 0.6667 0.3333 0.7500
Ru: 0.6667 0.3333 0.2500
Ru: 0.3333 0.6667 0.7500
O: 0.6532 0.6115 0.1458
O: 0.9584 0.3468 0.1458
O: 0.3468 0.9584 0.6458
O: 0.0416 0.6532 0.8542
O: 0.3885 0.3468 0.3542
O: 0.9584 0.6115 0.3542
O: 0.6115 0.9584 0.8542
O: 0.6532 0.0416 0.3542
O: 0.0416 0.3885 0.6458
O: 0.3885 0.0416 0.1458
O: 0.6115 0.6532 0.6458
O: 0.3468 0.3885 0.8542

Computed, not measured: a geometry-optimized Ac2GaHgIr structure at the GGA-PBE level of DFT.

Output
total DFT energy (no corrections): -0.1708 Ha/atom
symmetry: P2_1/m (11)
M_tot: 0.00 μB per cell
ΔH_f (0 K): -0.566 eV/atom

Cell: 4.6708 7.8026 8.2890 Å, 110.90 90.00 90.00°
Fractional positions:
Ac: 0.7500 0.8594 0.6537
Ac: 0.7500 0.7243 0.0502
Ac: 0.2500 0.1406 0.3463
Ac: 0.2500 0.2757 0.9498
Ga: 0.2500 0.5526 0.6831
Ga: 0.7500 0.4474 0.3169
Hg: 0.2500 0.6745 0.3388
Hg: 0.7500 0.3255 0.6612
Ir: 0.2500 0.8710 0.9040
Ir: 0.7500 0.1290 0.0960

Computed, not measured: a geometry-optimized ZnGaSe structure at the GGA-PBE level of DFT.

Output
total DFT energy (no corrections): -0.1031 Ha/atom
relative energy among the computed polymorphs: 0.36 eV/f.u.
symmetry: C2/m (12)
uncorrected formation energy: -0.21 eV per atom
M_tot: 0.00 μB per cell

Cell: 6.5287 3.8172 11.7285 Å, 90.00 122.94 90.00°
Fractional positions:
Zn: 0.3311 0.0000 0.6599
Zn: 0.6689 0.0000 0.3401
Zn: 0.3311 0.5000 0.1599
Zn: 0.6689 0.5000 0.8401
Ga: 0.8175 0.0000 0.1654
Ga: 0.1825 0.0000 0.8346
Ga: 0.8175 0.5000 0.6654
Ga: 0.1825 0.5000 0.3346
Se: 0.5000 0.0000 0.5000
Se: 0.5000 0.5000 0.0000
Se: 0.0000 0.0000 0.0000
Se: 0.0000 0.5000 0.5000

Computed, not measured: a geometry-optimized Tl2ReTc2 structure at the GGA-PBE level of DFT.

Output
total DFT energy (no corrections): -0.2318 Ha/atom
symmetry: I4/mmm (139)
M_tot: 1.55 μB per cell
ΔH_f (0 K): 1.274 eV/atom

Cell: 8.8168 8.8168 8.8168 Å, 157.50 157.50 32.04°
Fractional positions:
Tl: 0.6015 0.6015 0.0000
Tl: 0.3985 0.3985 0.0000
Re: 0.0000 0.0000 0.0000
Tc: 0.2500 0.7500 0.5000
Tc: 0.7500 0.2500 0.5000

Computed, not measured: a geometry-optimized Dy4PuN4 structure at the GGA-PBE level of DFT.

Output
total DFT energy (no corrections): -0.3201 Ha/atom
symmetry: I4/m (87)
uncorrected formation energy: -1.37 eV per atom
M_tot: 5.35 μB per cell

Cell: 4.9152 6.0484 6.0480 Å, 80.50 66.02 66.02°
Fractional positions:
Dy: 0.6064 0.5835 0.2038
Dy: 0.3936 0.4165 0.7962
Dy: 0.1898 0.2037 0.4165
Dy: 0.8102 0.7963 0.5835
Pu: 0.0000 0.0000 0.0000
N: 0.9035 0.3926 0.8007
N: 0.0965 0.6074 0.1993
N: 0.2960 0.8007 0.6074
N: 0.7040 0.1993 0.3926